(1)
The following is a DFT calculation (PBE-GGA) of an optimized crystal structure of SrCaAcTm.

The structure belongs to space group F-43m (No. 216); the cell edges are 8.692, 8.692 and 8.692 Å and the angles 90.00°, 90.00° and 90.00°. The distinct sites, in fractional coordinates, are Sr at (0.000, 0.000, 0.000), Ca at (0.250, 0.250, 0.250), Ac at (0.250, 0.250, 0.750) and Tm at (0.000, 0.000, 0.500).

As for the density of states at the Fermi level: 1.107 states/eV per atom. The energy relative to the elements comes out at 0.165 eV/atom.

(2)
The following is a DFT calculation (PBE-GGA) of an optimized crystal structure of Sr5U3Bi12.

The structure belongs to space group Ia-3d (No. 230); the cell edges are 19.086, 19.086 and 19.086 Å and the angles 90.00°, 90.00° and 90.00°. The distinct sites, in fractional coordinates, are Sr at (0.000, 0.000, 0.000), Sr at (0.000, 0.250, 0.375), U at (0.000, 0.250, 0.125) and Bi at (0.008, 0.088, 0.659).

As for the density of states at the Fermi level: 1.555 states/eV per atom. The energy relative to the elements comes out at -0.045 eV/atom.

(3)
The following is a DFT calculation (PBE-GGA) of an optimized crystal structure of LaAgTe2.

The structure belongs to space group P4mm (No. 99); the cell edges are 4.422, 4.422 and 6.441 Å and the angles 90.00°, 90.00° and 90.00°. The distinct sites, in fractional coordinates, are La at (0.000, 0.000, 0.000), Ag at (0.500, 0.500, 0.653), Te at (0.000, 0.000, 0.529) and Te at (0.500, 0.500, 0.100).

As for the density of states at the Fermi level: 0.166 states/eV per atom. The calculation puts the formation energy without anion corrections at -0.91 eV per atom.

(4)
The following is a DFT calculation (PBE-GGA) of an optimized crystal structure of LiBe2BiPb.

The structure belongs to space group P4/mmm (No. 123); the cell edges are 4.633, 4.633 and 4.921 Å and the angles 90.00°, 90.00° and 90.00°. The distinct sites, in fractional coordinates, are Li at (0.000, 0.000, 0.000), Be at (0.000, 0.500, 0.000), Bi at (0.500, 0.500, 0.500) and Pb at (0.000, 0.000, 0.500).

As for the density of states at the Fermi level: 0.574 states/eV per atom. The energy relative to the elements comes out at 0.889 eV/atom.

(5)
The following is a DFT calculation (PBE-GGA) of an optimized crystal structure of LaPrYTl.

The structure belongs to space group Imm2 (No. 44); the cell edges are 4.870, 4.870 and 10.479 Å and the angles 90.00°, 90.00° and 90.00°. The distinct sites, in fractional coordinates, are La at (0.000, 0.000, 0.000), Pr at (0.000, 0.000, 0.499), Y at (0.000, 0.500, 0.749) and Tl at (0.000, 0.500, 0.249).

As for the density of states at the Fermi level: 1.276 states/eV per atom. As for the offset from the most stable computed form: 0 meV/atom. The energy relative to the elements comes out at -0.197 eV/atom.

(6)
The following is a DFT calculation (PBE-GGA) of an optimized crystal structure of AgBRu3.

The structure belongs to space group Pm-3m (No. 221); the cell edges are 4.113, 4.113 and 4.113 Å and the angles 90.00°, 90.00° and 90.00°. The distinct sites, in fractional coordinates, are Ag at (0.000, 0.000, 0.000), B at (0.500, 0.500, 0.500) and Ru at (0.000, 0.500, 0.500).

As for the density of states at the Fermi level: 1.226 states/eV per atom. As for the offset from the most stable computed form: 0 meV/atom. The energy relative to the elements comes out at 0.383 eV/atom.

Which formula does entry 1 have?
SrCaAcTm